1.
7
Lattice="-2.504 -1.847 3.766 2.380 -1.808 3.864 -0.181 6.704 6.335" Properties=species:S:1:pos:R:3 comment="Li2PmEr2In2 | Alexandria via LeMat-Bulk | PBE | relaxed" magnetic_moment_mub_per_fu=0.000 spacegroup=R-3m density_kg_m3=6614 dos_at_fermi_per_ev_fu=5.7 ef_mev_per_atom=-228 pbc="T T T"
Li -0.112 -0.774 5.883
Li -0.193 3.823 8.083
Pm 0.000 0.000 0.000
Er -0.127 3.640 4.869
Er -0.178 -0.591 9.096
In -0.233 2.504 10.578
In -0.072 0.545 3.387

---

2.
4
Lattice="-1.897 -0.708 4.919 -2.762 -4.391 1.179 2.127 -3.711 3.162" Properties=species:S:1:pos:R:3 comment="LiPmErIn | Alexandria via LeMat-Bulk | PBE | relaxed" magnetic_moment_mub_per_fu=0.000 spacegroup=F-43m density_kg_m3=6772 dos_at_fermi_per_ev_fu=4.0 ef_mev_per_atom=-261 pbc="T T T"
Pm -1.898 -6.608 6.945
In -1.266 -4.405 4.630
Li 0.000 0.000 0.000
Er -0.633 -2.203 2.315

---

3.
7
Lattice="-0.048 4.891 0.379 -1.457 2.123 4.176 7.819 2.190 4.498" Properties=species:S:1:pos:R:3 comment="Li2PrEr2In2 | Alexandria via LeMat-Bulk | PBE | relaxed" magnetic_moment_mub_per_fu=0.000 spacegroup=R-3m density_kg_m3=6480 dos_at_fermi_per_ev_fu=5.9 ef_mev_per_atom=-232 pbc="T T T"
Li 0.830 4.643 3.693
Li 5.483 4.560 5.359
Pr 0.000 0.000 0.000
Er 4.588 2.247 3.341
Er 1.725 6.956 5.711
In 4.929 6.899 6.858
In 1.384 2.304 2.194